Tl2InRu: optimized geometry, GGA-PBE.

Values from the calculation:
* space-group type: Amm2 (38)
* N(E_F): 0.5826 states/eV/atom
* formation energy from the elements: 0.191 eV per atom
* energy: -3.9962 eV/atom
* crystal system: orthorhombic
* E above lowest polymorph: 0 meV/atom

a b c (Å): 3.217 7.566 7.566
angles (deg): 33.52 90.00 90.00
Element x y z (fractional)
1 Tl 0.000 0.000 0.000
2 Tl 0.500 0.353 0.353
3 In 0.000 0.680 0.680
4 Ru 0.500 0.162 0.162